Entry 1:
ZnTc2Hg: single point on PBEsol structure, meta-GGA SCAN. Values from VASP.

volume	62.4	Å³/cell
size of the total moment	0.0	Bohr magnetons per cell
E_form	0.41	eV per formula unit
space-group type	P4mm, No. 99
crystal system	tetragonal
energy relative to the lowest polymorph listed for this composition	0.0	meV per atom

Quantum ESPRESSO input file:
```
&SYSTEM
  ibrav = 0, nat = 4, ntyp = 3
/
ATOMIC_SPECIES
Zn 65.41 Zn.upf
Tc 98.00 Tc.upf
Hg 200.59 Hg.upf
ATOMIC_POSITIONS crystal
Zn 0.0000 0.0000 0.0000
Tc 0.0000 0.0000 0.5666
Tc 0.5000 0.5000 0.7648
Hg 0.5000 0.5000 0.2762
CELL_PARAMETERS angstrom
2.9288 0.0000 0.0000
0.0000 2.9288 0.0000
0.0000 0.0000 7.2745
```

Entry 2:
TaNiP2H: single point on PBEsol structure, meta-GGA SCAN. Values from VASP.

volume	78.6	Å³/cell
size of the total moment	0.0	Bohr magnetons per cell
uncorrected energy	-20.264	eV/atom
space-group type	P4/mmm, No. 123
crystal system	tetragonal

Quantum ESPRESSO input file:
```
&SYSTEM
  ibrav = 0, nat = 5, ntyp = 4
/
ATOMIC_SPECIES
Ta 180.95 Ta.upf
Ni 58.69 Ni.upf
P 30.97 P.upf
H 1.01 H.upf
ATOMIC_POSITIONS crystal
Ta 0.0000 0.0000 0.0000
Ni 0.0000 0.0000 0.5000
P 0.0000 0.5000 0.5000
P 0.5000 0.0000 0.5000
H 0.5000 0.5000 0.0000
CELL_PARAMETERS angstrom
4.0583 0.0000 0.0000
0.0000 4.0583 0.0000
0.0000 0.0000 4.7704
```

Entry 3:
HgI2: single point on PBEsol structure, meta-GGA SCAN. Values from VASP.

volume	226.8	Å³/cell
size of the total moment	0.0	Bohr magnetons per cell
formation energy without anion corrections	-258	meV per atom
space-group type	Cmc2_1, No. 36
crystal system	orthorhombic

Quantum ESPRESSO input file:
```
&SYSTEM
  ibrav = 0, nat = 6, ntyp = 2
/
ATOMIC_SPECIES
Hg 200.59 Hg.upf
I 126.90 I.upf
ATOMIC_POSITIONS crystal
Hg 0.1491 0.8509 0.5000
Hg 0.8509 0.1491 0.0000
I 0.1225 0.8775 0.1337
I 0.4216 0.5784 0.3664
I 0.5784 0.4216 0.8664
I 0.8775 0.1225 0.6337
CELL_PARAMETERS angstrom
2.3145 -3.6678 0.0000
2.3145 3.6678 0.0000
0.0000 0.0000 13.3593
```

Entry 4:
Ho2Al9Ir3: single point on PBEsol structure, meta-GGA SCAN. Values from VASP.

volume	456.1	Å³/cell
size of the total moment	0.0	Bohr magnetons per cell
E_form	-14.23	eV per formula unit
space-group type	Cmcm, No. 63
crystal system	orthorhombic

Quantum ESPRESSO input file:
```
&SYSTEM
  ibrav = 0, nat = 28, ntyp = 3
/
ATOMIC_SPECIES
Ho 164.93 Ho.upf
Al 26.98 Al.upf
Ir 192.22 Ir.upf
ATOMIC_POSITIONS crystal
Ho 0.0051 0.6720 0.7500
Ho 0.3280 0.9949 0.7500
Ho 0.6720 0.0051 0.2500
Ho 0.9949 0.3280 0.2500
Al 0.0005 0.6645 0.0752
Al 0.0005 0.6645 0.4248
Al 0.1284 0.8716 0.2500
Al 0.3328 0.6672 0.5522
Al 0.3328 0.6672 0.9478
Al 0.3355 0.9995 0.0752
Al 0.3355 0.9995 0.4248
Al 0.3400 0.4497 0.2500
Al 0.4497 0.3400 0.7500
Al 0.5503 0.6600 0.2500
Al 0.6600 0.5503 0.7500
Al 0.6645 0.0005 0.5752
Al 0.6645 0.0005 0.9248
Al 0.6672 0.3328 0.0522
Al 0.6672 0.3328 0.4478
Al 0.8716 0.1284 0.7500
Al 0.9995 0.3355 0.5752
Al 0.9995 0.3355 0.9248
Ir 0.0000 0.0000 0.0000
Ir 0.0000 0.0000 0.5000
Ir 0.3279 0.3279 0.0000
Ir 0.3279 0.3279 0.5000
Ir 0.6721 0.6721 0.0000
Ir 0.6721 0.6721 0.5000
CELL_PARAMETERS angstrom
6.4596 -3.7681 0.0000
6.4596 3.7681 0.0000
0.0000 0.0000 9.3698
```

Entry 5:
V3Cu2SnP6O24: single point on PBEsol structure, meta-GGA SCAN. Values from VASP.

volume	437.3	Å³/cell
size of the total moment	3.0	Bohr magnetons per cell
formation energy without anion corrections	-2272	meV per atom
space-group type	R3, No. 146
crystal system	trigonal

Quantum ESPRESSO input file:
```
&SYSTEM
  ibrav = 0, nat = 36, ntyp = 5
/
ATOMIC_SPECIES
V 50.94 V.upf
Cu 63.55 Cu.upf
Sn 118.71 Sn.upf
P 30.97 P.upf
O 16.00 O.upf
ATOMIC_POSITIONS crystal
V 0.0000 0.0000 0.0000
V 0.2169 0.2169 0.2169
V 0.7176 0.7176 0.7176
Cu 0.3546 0.3546 0.3546
Cu 0.8596 0.8596 0.8596
Sn 0.4992 0.4992 0.4992
P 0.1025 0.8226 0.3980
P 0.3150 0.6092 0.9040
P 0.3980 0.1025 0.8227
P 0.6092 0.9040 0.3150
P 0.8227 0.3980 0.1025
P 0.9040 0.3150 0.6092
O 0.0359 0.8689 0.2383
O 0.0951 0.3019 0.4390
O 0.1188 0.7723 0.9304
O 0.1651 0.9828 0.3591
O 0.2383 0.0359 0.8689
O 0.2689 0.6269 0.4045
O 0.3019 0.4389 0.0951
O 0.3370 0.5568 0.7443
O 0.3591 0.1651 0.9828
O 0.4045 0.2689 0.6269
O 0.4389 0.0951 0.3019
O 0.4822 0.6649 0.8580
O 0.5568 0.7443 0.3370
O 0.5954 0.9411 0.8000
O 0.6269 0.4045 0.2689
O 0.6649 0.8580 0.4822
O 0.7443 0.3370 0.5568
O 0.7723 0.9304 0.1188
O 0.8000 0.5954 0.9411
O 0.8580 0.4822 0.6649
O 0.8689 0.2383 0.0359
O 0.9304 0.1188 0.7723
O 0.9411 0.8000 0.5954
O 0.9828 0.3591 0.1651
CELL_PARAMETERS angstrom
4.2680 2.4642 6.9293
-4.2680 2.4642 6.9293
0.0000 -4.9283 6.9293
```

Entry 6:
AlRh2Cl: single point on PBEsol structure, meta-GGA SCAN. Values from VASP.

volume	58.8	Å³/cell
size of the total moment	0.0	Bohr magnetons per cell
formation energy without anion corrections	-3	meV per atom
space-group type	Cmm2, No. 35
crystal system	orthorhombic

Quantum ESPRESSO input file:
```
&SYSTEM
  ibrav = 0, nat = 4, ntyp = 3
/
ATOMIC_SPECIES
Al 26.98 Al.upf
Rh 102.91 Rh.upf
Cl 35.45 Cl.upf
ATOMIC_POSITIONS crystal
Al 0.0000 0.0000 0.0000
Rh 0.0000 0.0000 0.4997
Rh 0.5000 0.5000 0.2320
Cl 0.5000 0.5000 0.7657
CELL_PARAMETERS angstrom
1.4731 -2.4783 0.0000
1.4731 2.4783 0.0000
0.0000 0.0000 8.0528
```